[1]
The following is a DFT calculation (PBE) of crystalline ZrTiAl2 at its relaxed geometry.

CIF file:
```
data_ZrTiAl2
_cell_length_a 7.2435
_cell_length_b 3.8759
_cell_length_c 10.4837
_cell_angle_alpha 90.00
_cell_angle_beta 90.00
_cell_angle_gamma 90.00
_symmetry_space_group_name_H-M 'P n m a'
_symmetry_Int_Tables_number 62
loop_
_symmetry_equiv_pos_as_xyz
'x,y,z'
'-x,-y,-z'
'-x+1/2,-y,z+1/2'
'x+1/2,y,-z+1/2'
'x+1/2,-y+1/2,-z+1/2'
'-x+1/2,y+1/2,z+1/2'
'-x,y+1/2,-z'
'x,-y+1/2,z'
loop_
_atom_site_label
_atom_site_fract_x
_atom_site_fract_y
_atom_site_fract_z
_atom_site_occupancy
Zr1 0.2263 0.2500 0.1942 1
Ti1 0.0469 0.7500 0.4100 1
Al1 0.0726 0.2500 0.8375 1
Al2 0.1987 0.7500 0.9823 1
```

**E_form**: -0.342 eV/atom
**M_tot**: 0.1438 μB/atom
**DFT total energy**: -6.3244 eV/atom
**V**: 294 Å³ per cell
**ΔE to the lowest computed polymorph**: 0.31 eV/f.u.

[2]
The following is a DFT calculation (PBE) of crystalline Zr2Ti2Al3 at its relaxed geometry.

CIF file:
```
data_Zr2Ti2Al3
_cell_length_a 4.3675
_cell_length_b 20.1248
_cell_length_c 2.8870
_cell_angle_alpha 90.00
_cell_angle_beta 90.00
_cell_angle_gamma 90.00
_symmetry_space_group_name_H-M 'C m m m'
_symmetry_Int_Tables_number 65
_symmetry_space_group_name_Hall '-C 2 2'
loop_
_atom_site_label
_atom_site_fract_x
_atom_site_fract_y
_atom_site_fract_z
_atom_site_occupancy
Zr1 0.0000 0.0743 0.0000 1
Ti1 0.0000 0.2142 0.0000 1
Al1 0.0000 0.3430 0.5000 1
Al2 0.0000 0.5000 0.5000 1
```

**E_form**: -0.311 eV/atom
**M_tot**: 0.0002 μB/atom
**DFT total energy**: -6.6127 eV/atom
**V**: 254 Å³ per cell

[3]
The following is a DFT calculation (PBE) of crystalline ZrTiAl3 at its relaxed geometry.

CIF file:
```
data_ZrTiAl3
_cell_length_a 4.7505
_cell_length_b 4.7505
_cell_length_c 4.7505
_cell_angle_alpha 90.00
_cell_angle_beta 90.00
_cell_angle_gamma 90.00
_symmetry_space_group_name_H-M 'P m -3 m'
_symmetry_Int_Tables_number 221
_symmetry_space_group_name_Hall '-P 4 2 3'
loop_
_atom_site_label
_atom_site_fract_x
_atom_site_fract_y
_atom_site_fract_z
_atom_site_occupancy
Zr1 0.0000 0.0000 0.0000 1
Ti1 0.5000 0.5000 0.5000 1
Al1 0.0000 0.5000 0.5000 1
```

**E_form**: 0.587 eV/atom
**M_tot**: 0.0000 μB/atom
**DFT total energy**: -4.9469 eV/atom
**V**: 107 Å³ per cell
**ΔE to the lowest computed polymorph**: 0.00 eV/f.u.

[4]
The following is a DFT calculation (PBE) of crystalline ZrTi9Al2 at its relaxed geometry.

CIF file:
```
data_ZrTi9Al2
_cell_length_a 5.5899
_cell_length_b 5.5899
_cell_length_c 24.0832
_cell_angle_alpha 90.00
_cell_angle_beta 90.00
_cell_angle_gamma 120.00
_symmetry_space_group_name_H-M 'R -3 m'
_symmetry_Int_Tables_number 166
_symmetry_space_group_name_Hall '-R 3 2"'
loop_
_atom_site_label
_atom_site_fract_x
_atom_site_fract_y
_atom_site_fract_z
_atom_site_occupancy
Zr1 0.0000 0.0000 0.0000 1
Ti1 0.0000 0.0000 0.3333 1
Ti2 0.0000 0.0000 0.5000 1
Ti3 0.0087 0.5043 0.9155 1
Al1 0.0000 0.0000 0.1410 1
```

**E_form**: 0.143 eV/atom
**M_tot**: 0.1193 μB/atom
**DFT total energy**: -7.1144 eV/atom
**V**: 652 Å³ per cell

[5]
The following is a DFT calculation (PBE) of crystalline Al2Tl3 at its relaxed geometry.

CIF file:
```
data_Al2Tl3
_cell_length_a 3.3101
_cell_length_b 3.3101
_cell_length_c 40.2620
_cell_angle_alpha 90.00
_cell_angle_beta 90.00
_cell_angle_gamma 120.00
_symmetry_space_group_name_H-M 'R -3 m'
_symmetry_Int_Tables_number 166
_symmetry_space_group_name_Hall '-R 3 2"'
loop_
_atom_site_label
_atom_site_fract_x
_atom_site_fract_y
_atom_site_fract_z
_atom_site_occupancy
Al1 0.0000 0.0000 0.1024 1
Tl1 0.0000 0.0000 0.2949 1
Tl2 0.0000 0.0000 0.5000 1
```

**E_form**: 0.239 eV/atom
**M_tot**: 0.0000 μB/atom
**DFT total energy**: -2.6778 eV/atom
**V**: 382 Å³ per cell

[6]
The following is a DFT calculation (PBE) of crystalline AlTl2 at its relaxed geometry.

CIF file:
```
data_AlTl2
_cell_length_a 5.3513
_cell_length_b 5.3513
_cell_length_c 3.2505
_cell_angle_alpha 90.00
_cell_angle_beta 90.00
_cell_angle_gamma 120.00
_symmetry_space_group_name_H-M 'P -3 m 1'
_symmetry_Int_Tables_number 164
_symmetry_space_group_name_Hall '-P 3 2"'
loop_
_atom_site_label
_atom_site_fract_x
_atom_site_fract_y
_atom_site_fract_z
_atom_site_occupancy
Al1 0.0000 0.0000 0.0000 1
Tl1 0.3333 0.6667 0.2752 1
```

**E_form**: 0.230 eV/atom
**M_tot**: 0.0000 μB/atom
**DFT total energy**: -2.5947 eV/atom
**V**: 81 Å³ per cell
**ΔE to the lowest computed polymorph**: 0.27 eV/f.u.